(1)
DFT (PBE-GGA) results for a geometry-optimized Zr7Bi2C2 structure.

abc: 3.305 15.122 9.016
angles: 90.00 90.00 90.00
Space group Imm2 (No. 44)
Symmetry-distinct sites (fractional):
1 Zr 0.000 0.000 0.000 (multiplicity 2)
2 Zr 0.000 0.150 0.573 (multiplicity 4)
3 Zr 0.000 0.317 0.386 (multiplicity 4)
4 Zr 0.000 0.336 0.726 (multiplicity 4)
5 Bi 0.000 0.000 0.333 (multiplicity 2)
6 Bi 0.000 0.500 0.215 (multiplicity 2)
7 C 0.000 0.251 0.125 (multiplicity 4)

As for the total DFT energy (no corrections): -0.5945 Ry per atom. Its energy of formation from the pure elements is -0.27 eV per atom.


(2)
DFT (PBE-GGA) results for a geometry-optimized Zr2BiC structure.

abc: 6.764 6.764 6.764
angles: 90.00 90.00 90.00
Space group Fm-3m (No. 225)
Symmetry-distinct sites (fractional):
1 Zr 0.250 0.250 0.250 (multiplicity 8)
2 Bi 0.000 0.000 0.000 (multiplicity 4)
3 C 0.000 0.000 0.500 (multiplicity 4)

As for the total DFT energy (no corrections): -0.4993 Ry per atom. Its energy of formation from the pure elements is 0.76 eV per atom.


(3)
DFT (PBE-GGA) results for a geometry-optimized Zr3BiC structure.

abc: 5.390 5.390 5.390
angles: 90.00 90.00 90.00
Space group Pm-3m (No. 221)
Symmetry-distinct sites (fractional):
1 Zr 0.000 0.000 0.500 (multiplicity 3)
2 Bi 0.000 0.000 0.000 (multiplicity 1)
3 C 0.500 0.500 0.500 (multiplicity 1)

As for the total DFT energy (no corrections): -0.3931 Ry per atom. Its energy of formation from the pure elements is 2.40 eV per atom.


(4)
DFT (PBE-GGA) results for a geometry-optimized ZrBiC structure.

abc: 3.8378 3.8378 30.0081
angles: 90.00 90.00 120.00
Space group R-3m (No. 166, hexagonal axes)
Symmetry-distinct sites (fractional):
1 Zr 0.0000 0.0000 0.1273 (multiplicity 6)
2 Bi 0.0000 0.0000 0.3720 (multiplicity 6)
3 C 0.0000 0.0000 0.2013 (multiplicity 6)

As for the total DFT energy (no corrections): -0.5330 Ry per atom. Its energy of formation from the pure elements is -0.03 eV per atom.


(5)
DFT (PBE-GGA) results for a geometry-optimized Zr2BiC structure.

abc: 3.4842 3.4842 22.0677
angles: 90.00 90.00 120.00
Space group R-3m (No. 166, hexagonal axes)
Symmetry-distinct sites (fractional):
1 Zr 0.0000 0.0000 0.2202 (multiplicity 6)
2 Bi 0.0000 0.0000 0.0000 (multiplicity 3)
3 C 0.0000 0.0000 0.5000 (multiplicity 3)

As for the total DFT energy (no corrections): -0.5996 Ry per atom. Its energy of formation from the pure elements is -0.61 eV per atom.


(6)
DFT (PBE-GGA) results for a geometry-optimized Zr2BiC structure.

abc: 6.880 6.880 7.129
angles: 90.00 90.00 90.00
Space group I-42d (No. 122)
Symmetry-distinct sites (fractional):
1 Zr 0.146 0.250 0.125 (multiplicity 8)
2 Bi 0.000 0.000 0.500 (multiplicity 4)
3 C 0.000 0.000 0.000 (multiplicity 4)

As for the total DFT energy (no corrections): -0.5690 Ry per atom. Its energy of formation from the pure elements is -0.19 eV per atom.